AcPrSb, optimized geometry, DFT PBE-GGA; crystal system = cubic; offset from the most stable computed form = 0 meV/atom; calculated volume = 37.8 Å³ per atom
1.0
0.000 3.843 3.843
3.843 0.000 3.843
3.843 3.843 0.000
Ac Pr Sb
1 1 1
direct
0.000 0.000 0.000
0.500 0.500 0.500
0.250 0.250 0.250

***

AcPrSi, optimized geometry, DFT PBE-GGA; crystal system = cubic; uncorrected energy = -0.1881 hartree per atom; calculated volume = 33.2 Å³ per atom
1.0
0.000 3.681 3.681
3.681 0.000 3.681
3.681 3.681 0.000
Ac Pr Si
1 1 1
direct
0.000 0.000 0.000
0.500 0.500 0.500
0.250 0.250 0.250

***

AcPrSn, optimized geometry, DFT PBE-GGA; crystal system = cubic; offset from the most stable computed form = 0 meV/atom; calculated volume = 39.0 Å³ per atom
1.0
0.000 3.881 3.881
3.881 0.000 3.881
3.881 3.881 0.000
Ac Pr Sn
1 1 1
direct
0.000 0.000 0.000
0.500 0.500 0.500
0.250 0.250 0.250